(1)
DFT (PBE-GGA) results for an optimized crystal structure of Na2UIr2S6.

Lattice parameters (Å, degrees): 6.179 6.179 7.250 97.60 97.60 120.91
Atoms (fractional coordinates):
Na: 0.160 0.840 0.000
Na: 0.840 0.160 0.000
U: 0.000 0.000 0.500
Ir: 0.334 0.666 0.500
Ir: 0.666 0.334 0.500
S: 0.062 0.432 0.704
S: 0.304 0.304 0.294
S: 0.432 0.062 0.704
S: 0.568 0.938 0.296
S: 0.696 0.696 0.706
S: 0.938 0.568 0.296

Summary:
**Formation energy from raw total energies**: -0.91 eV per atom
**VASP energy**: -66.45 eV for the cell shown
**Magnetic moment**: 2.0 μB per formula unit
**N(E_F)**: 0.591 states/eV per atom

(2)
DFT (PBE-GGA) results for an optimized crystal structure of BaAlTlRe2.

Lattice parameters (Å, degrees): 5.300 5.300 5.726 90.00 90.00 90.00
Atoms (fractional coordinates):
Ba: 0.000 0.000 0.000
Al: 0.000 0.000 0.500
Tl: 0.500 0.500 0.500
Re: 0.000 0.500 0.000
Re: 0.500 0.000 0.000

Summary:
**Formation energy from the elements**: 2880 meV per atom
**VASP energy**: -18.53 eV for the cell shown
**Magnetic moment**: 4.2 μB per formula unit
**N(E_F)**: 0.895 states/eV per atom

(3)
DFT (PBE-GGA) results for an optimized crystal structure of Sm2Y2Er5.

Lattice parameters (Å, degrees): 7.954 7.954 7.897 107.63 107.63 36.83
Atoms (fractional coordinates):
Sm: 0.112 0.112 0.168
Sm: 0.888 0.888 0.832
Y: 0.444 0.444 0.168
Y: 0.556 0.556 0.832
Er: 0.000 0.000 0.500
Er: 0.222 0.222 0.831
Er: 0.333 0.333 0.500
Er: 0.667 0.667 0.500
Er: 0.778 0.778 0.169

Summary:
**Energy relative to the lowest polymorph listed for this composition**: 0 meV per atom
**Formation energy from the elements**: 23 meV per atom
**VASP energy**: -44.98 eV for the cell shown
**Magnetic moment**: 0.0 μB per formula unit
**N(E_F)**: 1.333 states/eV per atom

(4)
DFT (PBE-GGA) results for an optimized crystal structure of YAl3.

Lattice parameters (Å, degrees): 6.255 6.255 4.661 90.00 90.00 120.00
Atoms (fractional coordinates):
Y: 0.333 0.667 0.250
Y: 0.667 0.333 0.750
Al: 0.146 0.293 0.750
Al: 0.146 0.854 0.750
Al: 0.293 0.146 0.250
Al: 0.707 0.854 0.750
Al: 0.854 0.146 0.250
Al: 0.854 0.707 0.250

Summary:
**Formation energy from the elements**: -439 meV per atom
**VASP energy**: -38.90 eV for the cell shown
**Magnetic moment**: 0.0 μB per formula unit
**N(E_F)**: 0.439 states/eV per atom

(5)
DFT (PBE-GGA) results for an optimized crystal structure of Ca4In2P.

Lattice parameters (Å, degrees): 8.938 8.938 8.938 144.75 144.75 50.70
Atoms (fractional coordinates):
Ca: 0.000 0.500 0.500
Ca: 0.176 0.176 0.000
Ca: 0.500 0.000 0.500
Ca: 0.824 0.824 0.000
In: 0.375 0.375 0.000
In: 0.625 0.625 0.000
P: 0.000 0.000 0.000

Summary:
**Formation energy from the elements**: -441 meV per atom
**VASP energy**: -21.98 eV for the cell shown
**Magnetic moment**: 0.0 μB per formula unit
**N(E_F)**: 1.207 states/eV per atom

(6)
DFT (PBE-GGA) results for an optimized crystal structure of Er2ScGa2Rh5.

Lattice parameters (Å, degrees): 9.943 9.943 3.498 90.00 90.00 90.00
Atoms (fractional coordinates):
Er: 0.173 0.327 0.000
Er: 0.327 0.827 0.000
Er: 0.673 0.173 0.000
Er: 0.827 0.673 0.000
Sc: 0.000 0.000 0.000
Sc: 0.500 0.500 0.000
Ga: 0.125 0.625 0.000
Ga: 0.375 0.125 0.000
Ga: 0.625 0.875 0.000
Ga: 0.875 0.375 0.000
Rh: 0.000 0.500 0.500
Rh: 0.069 0.794 0.500
Rh: 0.206 0.069 0.500
Rh: 0.294 0.569 0.500
Rh: 0.431 0.294 0.500
Rh: 0.500 0.000 0.500
Rh: 0.569 0.706 0.500
Rh: 0.706 0.431 0.500
Rh: 0.794 0.931 0.500
Rh: 0.931 0.206 0.500

Summary:
**Formation energy from the elements**: -863 meV per atom
**VASP energy**: -133.80 eV for the cell shown
**Magnetic moment**: 0.0 μB per formula unit
**N(E_F)**: 0.581 states/eV per atom

(7)
DFT (PBE-GGA) results for an optimized crystal structure of Y4GeSe2Br.

Lattice parameters (Å, degrees): 7.114 4.128 7.258 90.00 109.04 90.00
Atoms (fractional coordinates):
Y: 0.234 0.000 0.219
Y: 0.254 0.500 0.773
Y: 0.746 0.500 0.227
Y: 0.766 0.000 0.781
Ge: 0.500 0.000 0.000
Se: 0.000 0.000 0.500
Se: 0.000 0.500 0.000
Br: 0.500 0.500 0.500

Summary:
**Formation energy from raw total energies**: -1.42 eV per atom
**VASP energy**: -50.51 eV for the cell shown
**Magnetic moment**: 0.0 μB per formula unit
**N(E_F)**: 0.486 states/eV per atom

(8)
DFT (PBE-GGA) results for an optimized crystal structure of BaEuSb4.

Lattice parameters (Å, degrees): 6.503 6.503 6.503 60.00 60.00 60.00
Atoms (fractional coordinates):
Ba: 0.000 0.000 0.000
Eu: 0.250 0.250 0.250
Sb: 0.128 0.624 0.624
Sb: 0.624 0.128 0.624
Sb: 0.624 0.624 0.128
Sb: 0.624 0.624 0.624

Summary:
**Formation energy from raw total energies**: -0.49 eV per atom
**VASP energy**: -31.63 eV for the cell shown
**Magnetic moment**: 7.0 μB per formula unit
**N(E_F)**: 1.508 states/eV per atom

(9)
DFT (PBE-GGA) results for an optimized crystal structure of MgTlPt2.

Lattice parameters (Å, degrees): 2.992 2.992 7.959 90.00 90.00 90.00
Atoms (fractional coordinates):
Mg: 0.000 0.000 0.000
Tl: 0.000 0.000 0.500
Pt: 0.500 0.500 0.224
Pt: 0.500 0.500 0.776

Summary:
**Formation energy from the elements**: -357 meV per atom
**VASP energy**: -17.47 eV for the cell shown
**Magnetic moment**: 0.0 μB per formula unit
**N(E_F)**: 0.278 states/eV per atom

(10)
DFT (PBE-GGA) results for an optimized crystal structure of Mg2GaSb.

Lattice parameters (Å, degrees): 8.330 8.330 8.330 31.30 31.30 31.30
Atoms (fractional coordinates):
Mg: 0.115 0.115 0.115
Mg: 0.885 0.885 0.885
Ga: 0.000 0.000 0.000
Sb: 0.500 0.500 0.500

Summary:
**Energy relative to the lowest polymorph listed for this composition**: 318 meV per atom
**Formation energy from raw total energies**: 0.16 eV per atom
**VASP energy**: -9.71 eV for the cell shown
**Magnetic moment**: 0.0 μB per formula unit
**N(E_F)**: 0.545 states/eV per atom

(11)
DFT (PBE-GGA) results for an optimized crystal structure of Ga3RhF.

Lattice parameters (Å, degrees): 4.398 4.398 4.398 90.00 90.00 90.00
Atoms (fractional coordinates):
Ga: 0.000 0.000 0.500
Ga: 0.000 0.500 0.000
Ga: 0.500 0.000 0.000
Rh: 0.500 0.500 0.500
F: 0.000 0.000 0.000

Summary:
**Energy relative to the lowest polymorph listed for this composition**: 547 meV per atom
**Formation energy from raw total energies**: -0.17 eV per atom
**VASP energy**: -19.18 eV for the cell shown
**Magnetic moment**: 0.0 μB per formula unit
**N(E_F)**: 0.709 states/eV per atom

(12)
DFT (PBE-GGA) results for an optimized crystal structure of Li2HRh.

Lattice parameters (Å, degrees): 5.429 7.162 4.472 90.00 90.00 90.00
Atoms (fractional coordinates):
Li: 0.195 0.073 0.189
Li: 0.195 0.427 0.189
Li: 0.305 0.573 0.689
Li: 0.305 0.927 0.689
Li: 0.695 0.073 0.311
Li: 0.695 0.427 0.311
Li: 0.805 0.573 0.811
Li: 0.805 0.927 0.811
H: 0.192 0.750 0.005
H: 0.308 0.250 0.505
H: 0.692 0.750 0.495
H: 0.808 0.250 0.995
Rh: 0.034 0.250 0.701
Rh: 0.466 0.750 0.201
Rh: 0.534 0.250 0.799
Rh: 0.966 0.750 0.299

Summary:
**Energy relative to the lowest polymorph listed for this composition**: 0 meV per atom
**VASP energy**: -62.45 eV for the cell shown
**Magnetic moment**: 0.0 μB per formula unit
**N(E_F)**: 0.248 states/eV per atom